Record 1
Here is crystalline Al2SiSe at its relaxed geometry from Alexandria. Energies are from PBE.

The calculation puts the theoretical density at 3.6 g cm⁻³. The calculation puts the offset from the most stable computed form at 163 meV/atom. Its total energy is -4.235 eV/atom. As for the uncorrected formation energy: -0.137 eV per atom. For the total magnetization, the calculation gives 0.00 μB/f.u. The calculation puts the density of states at the Fermi level at 1.91 states/eV/f.u.

The structure belongs to space group R-3m (No. 166, hexagonal axes); the cell edges are 3.6777, 3.6777 and 19.1828 Å and the angles 90.00°, 90.00° and 120.00°. The asymmetric unit holds Al at (0.0000, 0.0000, 0.2435), Si at (0.0000, 0.0000, 0.5000) and Se at (0.0000, 0.0000, 0.0000).

Record 2
Here is crystalline LiTa2Ir at its relaxed geometry from Alexandria. Energies are from PBE.

The calculation puts the theoretical density at 14.5 g cm⁻³. Its total energy is -8.695 eV/atom. For the total magnetization, the calculation gives 0.00 μB/f.u. For the formation enthalpy at 0 K, the calculation gives -74.8 meV per atom. The calculation puts the density of states at the Fermi level at 2.93 states/eV/f.u.

The structure belongs to space group Cm (No. 8); the cell edges are 10.276, 3.042 and 4.599 Å and the angles 90.00°, 116.44° and 90.00°. The asymmetric unit holds Li at (0.000, 0.000, 0.000), Ta at (0.029, 0.500, 0.530), Ta at (0.273, 0.500, 0.274) and Ir at (0.267, 0.000, 0.767).

Record 3
Here is crystalline CaSm5Te6 at its relaxed geometry from Alexandria. Energies are from PBE.

The calculation puts the theoretical density at 6.9 g cm⁻³. Its total energy is -5.124 eV/atom. As for the uncorrected formation energy: -1.420 eV per atom. For the total magnetization, the calculation gives 0.00 μB/f.u. The calculation puts the density of states at the Fermi level at 5.97 states/eV/f.u.

The structure belongs to space group C2/m (No. 12); the cell edges are 7.688, 13.356 and 7.724 Å and the angles 90.00°, 109.43° and 90.00°. The asymmetric unit holds Ca at (0.000, 0.000, 0.000), Sm at (0.000, 0.168, 0.500), Sm at (0.000, 0.333, 0.000), Sm at (0.000, 0.500, 0.500), Te at (0.248, 0.000, 0.752) and Te at (0.248, 0.165, 0.249).